# 1
VASP calculation (meta-GGA SCAN) on Ba2TaIn at its PBEsol-relaxed geometry.

## Properties
energy above the most stable polymorph in this dataset	0.00	eV/f.u.
DFT total energy	-1.6297	hartree per atom
magnetic moment	1.23	μB/cell
energy of formation	422	meV per atom

a b c (Å): 3.8227 3.8227 9.4206
angles (deg): 90.00 90.00 90.00
Element x y z (fractional)
Ba  0.0000  0.0000  0.0000
Ba  0.5000  0.5000  0.3959
Ta  0.5000  0.5000  0.7431
In  0.0000  0.0000  0.6470



# 2
VASP calculation (meta-GGA SCAN) on BaTa4O11 at its PBEsol-relaxed geometry.

## Properties
E_form (uncorrected)	-302.2	kJ per mole of atoms
DFT total energy	-0.9751	hartree per atom
magnetic moment	0.00	μB/cell

a b c (Å): 6.2999 6.2999 12.4982
angles (deg): 90.00 90.00 120.00
Element x y z (fractional)
Ba  0.3333  0.6667  0.2500
Ba  0.6667  0.3333  0.7500
Ta  0.0000  0.3569  0.5000
Ta  0.0000  0.6431  0.0000
Ta  0.3333  0.6667  0.7500
Ta  0.3569  0.0000  0.5000
Ta  0.3569  0.3569  0.0000
Ta  0.6431  0.0000  0.0000
Ta  0.6431  0.6431  0.5000
Ta  0.6667  0.3333  0.2500
O  0.0000  0.2452  0.0000
O  0.0000  0.7548  0.5000
O  0.0712  0.4349  0.6522
O  0.0712  0.6363  0.8478
O  0.2452  0.0000  0.0000
O  0.2452  0.2452  0.5000
O  0.3333  0.6667  0.0333
O  0.3333  0.6667  0.4667
O  0.3637  0.4349  0.8478
O  0.3637  0.9288  0.6522
O  0.4349  0.0712  0.3478
O  0.4349  0.3637  0.1522
O  0.5651  0.6363  0.6522
O  0.5651  0.9288  0.8478
O  0.6363  0.0712  0.1522
O  0.6363  0.5651  0.3478
O  0.6667  0.3333  0.5333
O  0.6667  0.3333  0.9667
O  0.7548  0.0000  0.5000
O  0.7548  0.7548  0.0000
O  0.9288  0.3637  0.3478
O  0.9288  0.5651  0.1522



# 3
VASP calculation (meta-GGA SCAN) on KIn2Se at its PBEsol-relaxed geometry.

## Properties
E_form (uncorrected)	-22.8	kJ per mole of atoms
DFT total energy	-0.8831	hartree per atom
magnetic moment	0.00	μB/cell

a b c (Å): 5.3481 5.3481 5.3481
angles (deg): 60.00 60.00 60.00
Element x y z (fractional)
K  0.0000  0.0000  0.0000
In  0.5000  0.5000  0.5000
In  0.7500  0.7500  0.7500
Se  0.2500  0.2500  0.2500



# 4
VASP calculation (meta-GGA SCAN) on Sr3SnAs at its PBEsol-relaxed geometry.

## Properties
DFT total energy	-0.9315	hartree per atom
magnetic moment	0.84	μB/cell
energy of formation	-759	meV per atom

a b c (Å): 5.8112 5.8112 5.8112
angles (deg): 90.00 90.00 90.00
Element x y z (fractional)
Sr  0.0000  0.0000  0.5000
Sr  0.0000  0.5000  0.0000
Sr  0.5000  0.0000  0.0000
Sn  0.5000  0.5000  0.5000
As  0.0000  0.0000  0.0000



# 5
VASP calculation (meta-GGA SCAN) on Ba2TcTe at its PBEsol-relaxed geometry.

## Properties
energy above the most stable polymorph in this dataset	1.45	eV/f.u.
E_form (uncorrected)	33.2	kJ per mole of atoms
DFT total energy	-1.3784	hartree per atom
magnetic moment	2.60	μB/cell

a b c (Å): 5.3789 5.3789 5.3789
angles (deg): 60.00 60.00 60.00
Element x y z (fractional)
Ba  0.0000  0.0000  0.0000
Ba  0.2500  0.2500  0.2500
Tc  0.7500  0.7500  0.7500
Te  0.5000  0.5000  0.5000



# 6
VASP calculation (meta-GGA SCAN) on NiTe2Ru at its PBEsol-relaxed geometry.

## Properties
energy above the most stable polymorph in this dataset	0.76	eV/f.u.
E_form (uncorrected)	25.6	kJ per mole of atoms
DFT total energy	-1.1433	hartree per atom
magnetic moment	0.90	μB/cell

a b c (Å): 8.1160 8.1160 8.1160
angles (deg): 26.15 26.15 26.15
Element x y z (fractional)
Ni  0.0000  0.0000  0.0000
Te  0.1014  0.1014  0.1014
Te  0.8986  0.8986  0.8986
Ru  0.5000  0.5000  0.5000



# 7
VASP calculation (meta-GGA SCAN) on Ir2Rh at its PBEsol-relaxed geometry.

## Properties
energy above the most stable polymorph in this dataset	0.00	eV/f.u.
DFT total energy	-2.1568	hartree per atom
magnetic moment	0.00	μB/cell
energy of formation	-33	meV per atom

a b c (Å): 4.6624 4.6624 4.6624
angles (deg): 146.35 131.75 60.11
Element x y z (fractional)
Ir  0.1676  0.1676  0.0000
Ir  0.8324  0.8324  0.0000
Rh  0.5000  0.5000  0.0000



# 8
VASP calculation (meta-GGA SCAN) on Ba2HgSb at its PBEsol-relaxed geometry.

## Properties
energy above the most stable polymorph in this dataset	0.09	eV/f.u.
E_form (uncorrected)	-89.5	kJ per mole of atoms
DFT total energy	-1.7294	hartree per atom
magnetic moment	0.00	μB/cell

a b c (Å): 4.4629 5.6378 5.6359
angles (deg): 90.00 90.00 90.00
Element x y z (fractional)
Ba  0.0000  0.0000  0.0000
Ba  0.0000  0.5000  0.4993
Hg  0.5000  0.0000  0.4999
Sb  0.5000  0.5000  0.9989



# 9
VASP calculation (meta-GGA SCAN) on AlTl2Mo at its PBEsol-relaxed geometry.

## Properties
energy above the most stable polymorph in this dataset	0.00	eV/f.u.
DFT total energy	-1.7046	hartree per atom
magnetic moment	0.00	μB/cell
energy of formation	453	meV per atom

a b c (Å): 3.5549 3.5549 6.2528
angles (deg): 90.00 90.00 90.00
Element x y z (fractional)
Al  0.0000  0.0000  0.0000
Tl  0.0000  0.0000  0.4301
Tl  0.5000  0.5000  0.7121
Mo  0.5000  0.5000  0.1647



# 10
VASP calculation (meta-GGA SCAN) on Li2ScBiRh at its PBEsol-relaxed geometry.

## Properties
DFT total energy	-0.9692	hartree per atom
magnetic moment	0.00	μB/cell
energy of formation	-99	meV per atom

a b c (Å): 4.4862 4.4862 5.1226
angles (deg): 90.00 90.00 90.00
Element x y z (fractional)
Li  0.0000  0.5000  0.0000
Li  0.5000  0.0000  0.0000
Sc  0.0000  0.0000  0.5000
Bi  0.5000  0.5000  0.5000
Rh  0.5000  0.5000  0.0000



# 11
VASP calculation (meta-GGA SCAN) on KMnNi at its PBEsol-relaxed geometry.

## Properties
energy above the most stable polymorph in this dataset	3.82	eV/f.u.
DFT total energy	-0.4619	hartree per atom
magnetic moment	4.81	μB/cell
energy of formation	1684	meV per atom

a b c (Å): 4.6542 4.6542 4.6542
angles (deg): 60.00 60.00 60.00
Element x y z (fractional)
K  0.0000  0.0000  0.0000
Mn  0.2500  0.2500  0.2500
Ni  0.7500  0.7500  0.7500



# 12
VASP calculation (meta-GGA SCAN) on TcSbSe2 at its PBEsol-relaxed geometry.

## Properties
E_form (uncorrected)	10.6	kJ per mole of atoms
DFT total energy	-1.0293	hartree per atom
magnetic moment	0.00	μB/cell

a b c (Å): 3.0419 3.0419 8.7227
angles (deg): 90.00 90.00 90.00
Element x y z (fractional)
Tc  0.0000  0.0000  0.0000
Sb  0.5000  0.5000  0.2192
Se  0.0000  0.0000  0.5109
Se  0.5000  0.5000  0.8446